No. 1
Computed, not measured: LiTbYSb after structural relaxation at the GGA-PBE level of DFT.

D(E_F)   0.800 states/eV per atom
Formation energy (no corrections)   -0.46 eV/atom
Electronic total energy   -75.9 eV for the cell shown
M_tot   0.000 μB per atom

Lattice parameters (Å, degrees): 7.369 7.369 7.369 90.00 90.00 90.00
Space group F-43m (No. 216)
One atom of each set of equivalent atoms:
Li  0.000  0.000  0.000 [4 per cell]
Tb  0.250  0.250  0.250 [4 per cell]
Y  0.250  0.250  0.750 [4 per cell]
Sb  0.000  0.000  0.500 [4 per cell]

***

No. 2
Computed, not measured: Rb4Ac3PmSe8 after structural relaxation at the GGA-PBE level of DFT.

D(E_F)   0.000 states/eV per atom
Formation energy (no corrections)   -1.78 eV/atom
Electronic total energy   -232.0 eV for the cell shown
M_tot   0.000 μB per atom

Lattice parameters (Å, degrees): 9.0953 9.0953 24.1238 90.00 90.00 120.00
Space group R-3m (No. 166, hexagonal axes)
One atom of each set of equivalent atoms:
Rb  0.0000  0.0000  0.0000 [3 per cell]
Rb  0.0000  0.5000  0.0000 [9 per cell]
Ac  0.0000  0.5000  0.5000 [9 per cell]
Pm  0.0000  0.0000  0.5000 [3 per cell]
Se  0.0000  0.0000  0.2366 [6 per cell]
Se  0.0114  0.5057  0.2346 [18 per cell]

***

No. 3
Computed, not measured: CeNd5Pb4 after structural relaxation at the GGA-PBE level of DFT.

E_form   -0.356 eV per atom
D(E_F)   1.245 states/eV per atom
Electronic total energy   -96.3 eV for the cell shown
M_tot   0.155 μB per atom

Lattice parameters (Å, degrees): 16.821 5.600 7.345 90.00 90.06 90.00
Space group C2/m (No. 12)
One atom of each set of equivalent atoms:
Ce  0.000  0.000  0.000 [2 per cell]
Nd  0.000  0.000  0.500 [2 per cell]
Nd  0.166  0.500  0.490 [4 per cell]
Nd  0.167  0.500  0.007 [4 per cell]
Pb  0.009  0.500  0.749 [4 per cell]
Pb  0.176  0.000  0.250 [4 per cell]

***

No. 4
Computed, not measured: Nd4PPbS2 after structural relaxation at the GGA-PBE level of DFT.

D(E_F)   0.328 states/eV per atom
Formation energy (no corrections)   -1.49 eV/atom
Electronic total energy   -48.4 eV for the cell shown
M_tot   0.000 μB per atom

Lattice parameters (Å, degrees): 7.310 4.214 7.397 90.00 109.47 90.00
Space group P2/m (No. 10)
One atom of each set of equivalent atoms:
Nd  0.237  0.000  0.231 [2 per cell]
Nd  0.248  0.500  0.762 [2 per cell]
P  0.500  0.000  0.000 [1 per cell]
Pb  0.500  0.500  0.500 [1 per cell]
S  0.000  0.000  0.500 [1 per cell]
S  0.000  0.500  0.000 [1 per cell]

***

No. 5
Computed, not measured: SrSiSb after structural relaxation at the GGA-PBE level of DFT.

D(E_F)   0.087 states/eV per atom
Formation energy (no corrections)   -0.44 eV/atom
Electronic total energy   -50.2 eV for the cell shown
M_tot   0.000 μB per atom
E above lowest polymorph   0.036 eV/atom

Lattice parameters (Å, degrees): 12.598 4.243 6.759 90.00 98.56 90.00
Space group Cm (No. 8)
One atom of each set of equivalent atoms:
Sr  0.000  0.000  0.000 [2 per cell]
Sr  0.225  0.500  0.577 [2 per cell]
Si  0.355  0.000  0.227 [2 per cell]
Si  0.409  0.000  0.595 [2 per cell]
Sb  0.018  0.000  0.498 [2 per cell]
Sb  0.228  0.500  0.086 [2 per cell]

***

No. 6
Computed, not measured: TaTc2Os after structural relaxation at the GGA-PBE level of DFT.

E_form   -0.009 eV per atom
D(E_F)   1.294 states/eV per atom
Electronic total energy   -87.7 eV for the cell shown
M_tot   0.000 μB per atom
E above lowest polymorph   0.036 eV/atom

Lattice parameters (Å, degrees): 3.955 3.955 7.883 90.00 90.00 90.00
Space group I-4m2 (No. 119)
One atom of each set of equivalent atoms:
Ta  0.000  0.000  0.000 [2 per cell]
Tc  0.000  0.000  0.500 [2 per cell]
Tc  0.000  0.500  0.750 [2 per cell]
Os  0.000  0.500  0.250 [2 per cell]

***

No. 7
Computed, not measured: ScPd2Au after structural relaxation at the GGA-PBE level of DFT.

E_form   -0.712 eV per atom
D(E_F)   0.752 states/eV per atom
Electronic total energy   -91.4 eV for the cell shown
M_tot   0.000 μB per atom
E above lowest polymorph   0.116 eV/atom

Lattice parameters (Å, degrees): 6.489 6.489 6.489 90.00 90.00 90.00
Space group Fm-3m (No. 225)
One atom of each set of equivalent atoms:
Sc  0.000  0.000  0.000 [4 per cell]
Pd  0.250  0.250  0.250 [8 per cell]
Au  0.000  0.000  0.500 [4 per cell]

***

No. 8
Computed, not measured: Hf2Zn2Ga after structural relaxation at the GGA-PBE level of DFT.

E_form   -0.271 eV per atom
D(E_F)   0.446 states/eV per atom
Electronic total energy   -53.7 eV for the cell shown
M_tot   0.000 μB per atom

Lattice parameters (Å, degrees): 6.513 6.513 4.172 90.00 90.00 90.00
Space group P4/mbm (No. 127)
One atom of each set of equivalent atoms:
Hf  0.168  0.332  0.000 [4 per cell]
Zn  0.132  0.632  0.500 [4 per cell]
Ga  0.000  0.000  0.500 [2 per cell]

***

No. 9
Computed, not measured: Sm2Y2Mg after structural relaxation at the GGA-PBE level of DFT.

E_form   -0.027 eV per atom
D(E_F)   1.559 states/eV per atom
Electronic total energy   -48.2 eV for the cell shown
M_tot   0.001 μB per atom
E above lowest polymorph   0.000 eV/atom

Lattice parameters (Å, degrees): 3.645 3.645 23.412 90.00 90.00 90.00
Space group I4/mmm (No. 139)
One atom of each set of equivalent atoms:
Sm  0.000  0.000  0.195 [4 per cell]
Y  0.000  0.000  0.411 [4 per cell]
Mg  0.000  0.000  0.000 [2 per cell]

***

No. 10
Computed, not measured: Pu3Sb2As after structural relaxation at the GGA-PBE level of DFT.

D(E_F)   3.574 states/eV per atom
Formation energy (no corrections)   -0.52 eV/atom
Electronic total energy   -236.1 eV for the cell shown
M_tot   0.870 μB per atom
E above lowest polymorph   0.096 eV/atom

Lattice parameters (Å, degrees): 13.339 4.452 10.687 90.00 90.00 90.00
Space group Pnma (No. 62)
One atom of each set of equivalent atoms:
Pu  0.039  0.250  0.102 [4 per cell]
Pu  0.128  0.750  0.552 [4 per cell]
Pu  0.218  0.750  0.331 [4 per cell]
Sb  0.063  0.250  0.752 [4 per cell]
Sb  0.192  0.750  0.031 [4 per cell]
As  0.083  0.250  0.378 [4 per cell]

***

No. 11
Computed, not measured: RbGa2Hg2 after structural relaxation at the GGA-PBE level of DFT.

E_form   -0.100 eV per atom
D(E_F)   0.537 states/eV per atom
Electronic total energy   -16.3 eV for the cell shown
M_tot   0.000 μB per atom
E above lowest polymorph   0.000 eV/atom

Lattice parameters (Å, degrees): 5.254 5.254 10.179 90.00 90.00 90.00
Space group I4/mmm (No. 139)
One atom of each set of equivalent atoms:
Rb  0.000  0.000  0.000 [2 per cell]
Ga  0.000  0.000  0.371 [4 per cell]
Hg  0.000  0.500  0.250 [4 per cell]

***

No. 12
Computed, not measured: TbTh3Te4 after structural relaxation at the GGA-PBE level of DFT.

D(E_F)   0.580 states/eV per atom
Formation energy (no corrections)   -1.09 eV/atom
Electronic total energy   -48.1 eV for the cell shown
M_tot   0.000 μB per atom
E above lowest polymorph   0.000 eV/atom

Lattice parameters (Å, degrees): 4.451 4.451 12.552 90.00 90.00 90.00
Space group P4/mmm (No. 123)
One atom of each set of equivalent atoms:
Tb  0.000  0.000  0.000 [1 per cell]
Th  0.000  0.000  0.500 [1 per cell]
Th  0.500  0.500  0.252 [2 per cell]
Te  0.000  0.000  0.246 [2 per cell]
Te  0.500  0.500  0.000 [1 per cell]
Te  0.500  0.500  0.500 [1 per cell]

***

No. 13
Computed, not measured: BiTePI2 after structural relaxation at the GGA-PBE level of DFT.

D(E_F)   0.575 states/eV per atom
Formation energy (no corrections)   0.35 eV/atom
Electronic total energy   -13.8 eV for the cell shown
M_tot   0.000 μB per atom
E above lowest polymorph   0.000 eV/atom

Lattice parameters (Å, degrees): 5.344 5.344 5.598 90.00 90.00 90.00
Space group P4/mmm (No. 123)
One atom of each set of equivalent atoms:
Bi  0.000  0.000  0.000 [1 per cell]
Te  0.500  0.500  0.000 [1 per cell]
P  0.500  0.500  0.500 [1 per cell]
I  0.000  0.500  0.500 [2 per cell]

***

No. 14
Computed, not measured: Na3HfAs after structural relaxation at the GGA-PBE level of DFT.

E_form   1.482 eV per atom
D(E_F)   1.240 states/eV per atom
Electronic total energy   -11.2 eV for the cell shown
M_tot   0.400 μB per atom
E above lowest polymorph   0.726 eV/atom

Lattice parameters (Å, degrees): 5.913 5.913 5.913 90.00 90.00 90.00
Space group Pm-3m (No. 221)
One atom of each set of equivalent atoms:
Na  0.000  0.000  0.500 [3 per cell]
Hf  0.000  0.000  0.000 [1 per cell]
As  0.500  0.500  0.500 [1 per cell]

***

No. 15
Computed, not measured: TbPr2NpAs4 after structural relaxation at the GGA-PBE level of DFT.

E_form   -1.294 eV per atom
D(E_F)   1.504 states/eV per atom
Electronic total energy   -56.1 eV for the cell shown
M_tot   0.467 μB per atom

Lattice parameters (Å, degrees): 7.289 4.208 7.300 90.00 109.30 90.00
Space group P2/m (No. 10)
One atom of each set of equivalent atoms:
Tb  0.000  0.000  0.000 [1 per cell]
Pr  0.000  0.500  0.500 [1 per cell]
Pr  0.500  0.000  0.500 [1 per cell]
Np  0.500  0.500  0.000 [1 per cell]
As  0.249  0.500  0.237 [2 per cell]
As  0.257  0.000  0.764 [2 per cell]